Cs2TiHgCl | PBE | optimized geometry

Structure (POSCAR):
```
Cs2TiHgCl
1.0
-3.1964 -1.5242 5.9332
6.1251 -0.8964 3.0695
0.0721 5.1994 1.3745
Cs Ti Cl Hg
2 1 1 1
Cartesian
-1.5982 -0.7621 2.9666
3.0626 -0.4482 1.5347
0.0000 0.0000 0.0000
1.5004 1.3894 5.1886
0.0361 2.5997 0.6873
```

Summary:
Space-group type: P4/mmm, No. 123
Raw total energy (eV per atom): -2.326
Density (g cm⁻³): 3.6
Total magnetic moment (Bohr magnetons per cell): 3.90
DOS(E_F) (states/eV/atom): 0.580